Material: BaCo2Cu
Method: DFT, PBE
State: relaxed

Summary:
Energy relative to the elements   0.202 eV per atom
Space group   C2/m, No. 12

Unit cell a=4.177 b=4.177 c=6.042 alpha=69.65 beta=69.65 gamma=60.02
Atoms (fractional coordinates):
Ba (0.750, 0.750, 0.750)
Co (0.929, 0.929, 0.213)
Co (0.571, 0.571, 0.287)
Cu (0.250, 0.250, 0.250)